No. 1
Compound: Er2Ga3Si
Source: Alexandria via LeMat-Bulk
Functional: PBE-GGA
Structure: relaxed

Formation energy (no corrections) (meV per atom): -615
Crystal system: orthorhombic
DOS at the Fermi energy (states/eV/cell): 1.7
Magnetic moment (μB per formula unit): 0.0

Unit cell a=4.008 b=4.153 c=7.171 alpha=90.00 beta=90.00 gamma=90.00
Space group Pmm2 (No. 25)
Asymmetric unit:
1 Er 0.000 0.000 0.000 [1 per cell]
2 Er 0.000 0.500 0.487 [1 per cell]
3 Ga 0.500 0.000 0.659 [1 per cell]
4 Ga 0.500 0.500 0.160 [1 per cell]
5 Ga 0.500 0.500 0.824 [1 per cell]
6 Si 0.500 0.000 0.328 [1 per cell]

No. 2
Compound: Er3Ga3Si2
Source: Alexandria via LeMat-Bulk
Functional: PBE-GGA
Structure: relaxed

Formation energy (no corrections) (meV per atom): -619
Crystal system: orthorhombic
DOS at the Fermi energy (states/eV/cell): 11.6
Magnetic moment (μB per formula unit): 0.0

Unit cell a=4.019 b=10.779 c=15.127 alpha=90.00 beta=90.00 gamma=90.00
Space group Cmcm (No. 63)
Asymmetric unit:
1 Er 0.000 0.079 0.250 [4 per cell]
2 Er 0.000 0.362 0.094 [8 per cell]
3 Ga 0.000 0.078 0.056 [8 per cell]
4 Ga 0.000 0.187 0.750 [4 per cell]
5 Si 0.000 0.341 0.622 [8 per cell]